ZnNiAsO5 at its PBEsol-relaxed geometry, computed with meta-GGA SCAN.

Values from the calculation:
symmetry = Pnma
size of the total moment = 4.00 Bohr magnetons per cell
E_form (uncorrected) = -1335 meV per atom
volume = 11.56 Å³/atom

a = 5.9323 Å, b = 7.7559 Å, c = 8.0388 Å
α = 90.00°, β = 90.00°, γ = 90.00°
With the nearest neighbours (Å) after each atom.
Element x y z (fractional)
O 0.7540 0.8925 0.1976  1 As 1.73, 1 Ni 1.94
O 0.7538 0.3926 0.3025  1 As 1.73, 1 Ni 1.94
O 0.9994 0.2470 0.0414  1 As 1.70, 1 Zn 1.86
O 0.4994 0.2530 0.9586  1 As 1.70, 1 Zn 1.86
O 0.7462 0.6074 0.8025  1 As 1.73, 1 Ni 1.94
O 0.0000 0.6104 0.1050  1 As 1.72
O 0.4999 0.6394 0.0914  2 Ni 1.86, 1 Zn 1.94
O 0.2538 0.1074 0.6975  1 As 1.73, 1 Ni 1.94
O 0.0000 0.1104 0.3950  1 As 1.72
O 0.2540 0.6075 0.8024  1 As 1.73, 1 Ni 1.94
O 0.5001 0.1394 0.4086  2 Ni 1.86, 1 Zn 1.94
O 0.0006 0.7470 0.4586  1 As 1.70, 1 Zn 1.86
O 0.0001 0.3606 0.5914  2 Ni 1.86, 1 Zn 1.94
O 0.7460 0.1075 0.6976  1 As 1.73, 1 Ni 1.94
O 0.2460 0.3925 0.3024  1 As 1.73, 1 Ni 1.94
O 0.9999 0.8606 0.9086  2 Ni 1.86, 1 Zn 1.94
O 0.5000 0.3896 0.6050  1 As 1.72
O 0.2462 0.8926 0.1975  1 As 1.73, 1 Ni 1.94
O 0.5000 0.8896 0.8950  1 As 1.72
O 0.5006 0.7530 0.5414  1 As 1.70, 1 Zn 1.86
As 0.0001 0.9056 0.3134  4 O 1.70-1.73
As 0.5001 0.5944 0.6866  4 O 1.70-1.73
As 0.4999 0.0944 0.8134  4 O 1.70-1.73
As 0.9999 0.4056 0.1866  4 O 1.70-1.73
Ni 0.2500 0.2500 0.5000  6 O 1.86-2.02
Ni 0.7500 0.7500 0.0000  6 O 1.86-2.02
Ni 0.2500 0.7500 0.0000  6 O 1.86-2.02
Ni 0.7500 0.2500 0.5000  6 O 1.86-2.02
Zn 0.0001 0.2556 0.8102  2 O 1.86-1.94
Zn 0.4999 0.7444 0.3102  2 O 1.86-1.94
Zn 0.5001 0.2444 0.1898  2 O 1.86-1.94
Zn 0.9999 0.7556 0.6898  2 O 1.86-1.94